The following is a GGA-PBE calculation of crystalline TlCr2Br at its relaxed geometry, from Alexandria.

Calculated values
* E_form (uncorrected): 339 meV per atom

a = 8.8491 Å, b = 8.8491 Å, c = 8.8491 Å
α = 21.92°, β = 21.92°, γ = 21.92°
Fractional positions:
Tl (0.0000, 0.0000, 0.0000)
Cr (0.4840, 0.4840, 0.4840)
Cr (0.7545, 0.7545, 0.7545)
Br (0.2218, 0.2218, 0.2218)